Na2MnBSO7: relaxed, GGA-PBEsol.

a = 5.201 Å, b = 6.978 Å, c = 9.017 Å
α = 90.00°, β = 94.35°, γ = 90.00°
Space group P2_1/m (No. 11)
Unique sites:
Na  0.235  0.002  0.303
Mn  0.229  0.750  0.846
B  0.280  0.750  0.589
S  0.251  0.250  0.926
O  0.046  0.750  0.660
O  0.116  0.250  0.067
O  0.183  0.077  0.839
O  0.314  0.750  0.446
O  0.463  0.750  0.031
O  0.476  0.750  0.709

* N(E_F): 0.000 states/eV/f.u.
* calculated density: 2.60 g/cm³
* uncorrected formation energy: -1792 meV/atom
* total moment: 8.00 μB per cell